Entry from Alexandria via LeMat-Bulk: a geometry-optimized BeVOF2 structure (PBE with a Hubbard U).

Unit cell a=3.2916 b=3.2916 c=4.2667 alpha=90.00 beta=90.00 gamma=90.00
Site moments in Bohr magnetons follow the coordinates.
Sites, in units of the cell vectors:
Be1 0.0000 0.0000 0.0000  0.00
F1 0.0000 0.5000 0.0000  0.01
F2 0.5000 0.0000 0.0000  0.01
O1 0.0000 0.0000 0.5000  -0.01
V1 0.5000 0.5000 0.5000  2.78

Summary:
- density of states at the Fermi level (states/eV/cell) = 0.000
- VASP energy (Ry per atom) = -0.4485
- relative energy among the computed polymorphs (eV per atom) = 0.000